Material: Co6PtO8
Method: DFT, PBE+U
State: relaxed

Properties
Crystal system: cubic
Electronic total energy: -5.96 eV per atom

abc: 6.0405 6.0405 6.0405
angles: 60.00 60.00 60.00
Fractional coordinates of all 15 atoms:
Co  0.0000  0.0000  0.5000
Co  0.0000  0.5000  0.0000
Co  0.0000  0.5000  0.5000
Co  0.5000  0.0000  0.0000
Co  0.5000  0.0000  0.5000
Co  0.5000  0.5000  0.0000
Pt  0.0000  0.0000  0.0000
O  0.2371  0.2371  0.7629
O  0.2371  0.7629  0.2371
O  0.2371  0.7629  0.7629
O  0.2500  0.2500  0.2500
O  0.7500  0.7500  0.7500
O  0.7629  0.2371  0.2371
O  0.7629  0.2371  0.7629
O  0.7629  0.7629  0.2371